1.
DFT (GGA-PBE) results for crystalline CoCCl3 at its relaxed geometry.

## Properties
Its spin magnetization is 2.95 μB/cell. Its raw formation energy is 120.0 kJ per mole of atoms.

Cell lengths 4.6107, 4.6107, 4.6107 Å; angles 90.00, 90.00, 90.00 degrees
Each line ends with the local moment (μB).
Sites, in units of the cell vectors:
C1 0.5000 0.5000 0.5000  0.75
Co1 0.0000 0.0000 0.0000  1.53
Cl1 0.0000 0.5000 0.0000  -0.02
Cl2 0.0000 0.0000 0.5000  -0.01
Cl3 0.5000 0.0000 0.0000  -0.03

2.
DFT (GGA-PBE) results for crystalline ThFeGe4 at its relaxed geometry.

## Properties
Its spin magnetization is 3.21 μB/cell. The formation energy comes out at -1.5 eV per formula unit.

Cell lengths 4.0086, 7.5034, 7.3952 Å; angles 90.00, 90.00, 90.00 degrees
Each line ends with the local moment (μB).
Sites, in units of the cell vectors:
Th1 0.0000 0.6578 0.7500  0.01
Th2 0.0000 0.3422 0.2500  0.01
Fe1 0.0000 0.2294 0.7500  1.66
Fe2 0.0000 0.7706 0.2500  1.66
Ge1 0.0000 0.0000 0.5000  0.00
Ge2 0.0000 0.0000 0.0000  0.00
Ge3 0.5000 0.9809 0.7500  -0.02
Ge4 0.5000 0.0191 0.2500  -0.02
Ge5 0.5000 0.6582 0.0756  -0.02
Ge6 0.5000 0.3418 0.9244  -0.02
Ge7 0.5000 0.6582 0.4244  -0.02
Ge8 0.5000 0.3418 0.5756  -0.02

3.
DFT (GGA-PBE) results for crystalline KAg2P at its relaxed geometry.

## Properties
Its spin magnetization is 0.00 μB/cell. The formation energy comes out at 0.7 eV per formula unit.

Cell lengths 6.3013, 6.3013, 6.3013 Å; angles 152.17, 128.08, 59.93 degrees
Sites, in units of the cell vectors:
Ag1 0.0533 0.0533 0.0000
Ag2 0.4467 0.4467 0.0000
K1 0.7500 0.2500 0.5000
P1 0.2500 0.7500 0.5000